Material: Li3AlSn
Method: DFT, GGA-PBE
State: optimized geometry

a b c (Å): 4.404 5.968 6.964
angles (deg): 82.86 90.00 90.00
Atoms (fractional coordinates):
1 Li 0.624 0.806 0.575
2 Li 0.624 0.996 0.163
3 Li 0.124 0.521 0.651
4 Li 0.124 0.293 0.072
5 Li 0.124 0.102 0.485
6 Li 0.624 0.577 0.996
7 Al 0.624 0.408 0.367
8 Al 0.124 0.690 0.280
9 Sn 0.624 0.236 0.764
10 Sn 0.124 0.862 0.884

Material: GaNiPCl2
Method: DFT, GGA-PBE
State: optimized geometry

a b c (Å): 4.680 4.680 5.060
angles (deg): 90.00 90.00 90.00
Each line ends with the local moment (μB).
Atoms (fractional coordinates):
1 Ni 0.500 0.500 0.500  1.04
2 P 0.000 0.000 0.500  -0.11
3 Ga 0.000 0.000 0.000  0.00
4 Cl 0.000 0.500 0.000  0.01
5 Cl 0.500 0.000 0.000  0.01

Results
- Energy relative to the elements, uncorrected: 51 kJ/mol of atoms

Material: LiBiO2
Method: DFT, GGA-PBE
State: optimized geometry

a b c (Å): 5.344 5.582 5.409
angles (deg): 114.45 119.61 90.00
Atoms (fractional coordinates):
1 Li 0.000 0.000 0.500
2 Li 0.500 0.500 0.500
3 Bi 0.696 0.250 0.000
4 Bi 0.304 0.750 0.000
5 O 0.697 0.669 0.322
6 O 0.625 0.169 0.322
7 O 0.375 0.831 0.678
8 O 0.303 0.331 0.678

Results
- Energy relative to the elements, uncorrected: -139 kJ/mol of atoms

Material: K2SrPbBr6
Method: DFT, GGA-PBE
State: optimized geometry

a b c (Å): 7.889 8.392 11.426
angles (deg): 90.00 89.50 90.00
Atoms (fractional coordinates):
1 K 0.031 0.918 0.252
2 K 0.531 0.582 0.752
3 K 0.969 0.082 0.748
4 K 0.469 0.418 0.248
5 Sr 0.500 0.000 0.500
6 Sr 0.000 0.500 0.000
7 Pb 0.500 0.000 0.000
8 Pb 0.000 0.500 0.500
9 Br 0.311 0.695 0.067
10 Br 0.811 0.805 0.567
11 Br 0.689 0.305 0.933
12 Br 0.189 0.195 0.433
13 Br 0.311 0.695 0.432
14 Br 0.811 0.805 0.932
15 Br 0.689 0.305 0.568
16 Br 0.189 0.195 0.068
17 Br 0.869 0.549 0.251
18 Br 0.369 0.951 0.751
19 Br 0.131 0.451 0.749
20 Br 0.631 0.049 0.249

Results
- Energy relative to the elements, uncorrected: -156 kJ/mol of atoms

Material: Mn2TcH
Method: DFT, GGA-PBE
State: optimized geometry

a b c (Å): 3.778 3.778 5.599
angles (deg): 70.28 70.28 60.00
Each line ends with the local moment (μB).
Atoms (fractional coordinates):
1 H 0.000 0.000 0.000  -0.03
2 Mn 0.106 0.106 0.682  2.10
3 Mn 0.894 0.894 0.318  2.10
4 Tc 0.500 0.500 0.500  -0.94

Material: ScTi2Pt9
Method: DFT, GGA-PBE
State: optimized geometry

a b c (Å): 3.967 3.967 11.912
angles (deg): 90.00 90.00 90.00
Atoms (fractional coordinates):
1 Sc 0.000 0.000 0.000
2 Ti 0.000 0.000 0.332
3 Ti 0.000 0.000 0.668
4 Pt 0.500 0.500 0.000
5 Pt 0.500 0.500 0.336
6 Pt 0.500 0.500 0.664
7 Pt 0.500 0.000 0.173
8 Pt 0.500 0.000 0.500
9 Pt 0.500 0.000 0.827
10 Pt 0.000 0.500 0.173
11 Pt 0.000 0.500 0.500
12 Pt 0.000 0.500 0.827

Material: LiGa5Pd6
Method: DFT, GGA-PBE
State: optimized geometry

a b c (Å): 4.290 6.378 6.779
angles (deg): 90.00 107.87 90.00
Atoms (fractional coordinates):
1 Pd 0.830 0.752 0.661
2 Pd 0.830 0.248 0.661
3 Pd 0.500 0.263 0.000
4 Pd 0.500 0.737 0.000
5 Pd 0.170 0.752 0.339
6 Pd 0.170 0.248 0.339
7 Ga 0.668 0.500 0.335
8 Ga 0.342 0.000 0.685
9 Ga 0.000 0.500 0.000
10 Ga 0.658 0.000 0.315
11 Ga 0.332 0.500 0.665
12 Li 0.000 0.000 0.000

Material: NdSmSnPb
Method: DFT, GGA-PBE
State: optimized geometry

a b c (Å): 4.640 4.453 6.345
angles (deg): 90.00 111.45 90.00
Atoms (fractional coordinates):
1 Nd 0.133 0.000 0.267
2 Sm 0.866 0.500 0.732
3 Sn 0.594 0.500 0.188
4 Pb 0.406 0.000 0.813

Material: Li2In2HgI6
Method: DFT, GGA-PBE
State: optimized geometry

a b c (Å): 8.380 7.517 11.414
angles (deg): 120.15 101.46 54.80
Atoms (fractional coordinates):
1 Li 0.904 0.340 0.692
2 Li 0.096 0.660 0.308
3 In 0.304 0.497 0.683
4 In 0.696 0.503 0.317
5 Hg 0.500 0.000 0.500
6 I 0.512 0.724 0.802
7 I 0.925 0.417 0.119
8 I 0.987 0.847 0.593
9 I 0.075 0.583 0.881
10 I 0.013 0.153 0.407
11 I 0.488 0.276 0.198

Results
- Energy relative to the elements, uncorrected: -66 kJ/mol of atoms

Material: Zr5Cr4
Method: DFT, GGA-PBE
State: optimized geometry

a b c (Å): 8.200 8.200 5.820
angles (deg): 90.00 90.00 60.00
Each line ends with the local moment (μB).
Atoms (fractional coordinates):
1 Cr 0.000 0.000 0.000  1.82
2 Cr 0.000 0.000 0.500  1.82
3 Cr 0.624 0.376 0.250  2.51
4 Cr 0.000 0.624 0.250  2.51
5 Cr 0.376 0.000 0.250  2.51
6 Cr 0.376 0.624 0.750  2.51
7 Cr 0.000 0.376 0.750  2.51
8 Cr 0.624 0.000 0.750  2.51
9 Zr 0.280 0.720 0.250  -0.27
10 Zr 0.000 0.280 0.250  -0.27
11 Zr 0.720 0.000 0.250  -0.27
12 Zr 0.720 0.280 0.750  -0.27
13 Zr 0.000 0.720 0.750  -0.27
14 Zr 0.280 0.000 0.750  -0.27
15 Zr 0.333 0.333 0.000  -0.38
16 Zr 0.667 0.667 0.500  -0.38
17 Zr 0.667 0.667 0.000  -0.38
18 Zr 0.333 0.333 0.500  -0.38

Material: Pa2Al8Ga
Method: DFT, GGA-PBE
State: optimized geometry

a b c (Å): 4.403 4.403 11.142
angles (deg): 90.00 90.00 90.00
Atoms (fractional coordinates):
1 Pa 0.000 0.000 0.313
2 Pa 0.000 0.000 0.687
3 Al 0.000 0.500 0.500
4 Al 0.500 0.000 0.500
5 Al 0.500 0.500 0.310
6 Al 0.500 0.500 0.690
7 Al 0.000 0.500 0.130
8 Al 0.500 0.000 0.130
9 Al 0.000 0.500 0.870
10 Al 0.500 0.000 0.870
11 Ga 0.000 0.000 0.000

Material: HfAlSnIr2
Method: DFT, GGA-PBE
State: optimized geometry

a b c (Å): 4.842 5.212 4.842
angles (deg): 90.00 90.00 90.00
Atoms (fractional coordinates):
1 Ir 0.000 0.000 0.500
2 Ir 0.500 0.000 0.000
3 Hf 0.000 0.500 0.000
4 Sn 0.000 0.000 0.000
5 Al 0.500 0.500 0.500

Material: Ga2Pd2Ru
Method: DFT, GGA-PBE
State: optimized geometry

a b c (Å): 7.522 7.522 2.737
angles (deg): 90.00 90.00 90.00
Each line ends with the local moment (μB).
Atoms (fractional coordinates):
1 Ru 0.000 0.000 0.000  0.14
2 Ru 0.500 0.500 0.000  0.14
3 Ga 0.168 0.668 0.500  0.00
4 Ga 0.668 0.832 0.500  0.00
5 Ga 0.832 0.332 0.500  0.00
6 Ga 0.332 0.168 0.500  0.00
7 Pd 0.368 0.868 0.000  0.00
8 Pd 0.868 0.632 0.000  0.00
9 Pd 0.632 0.132 0.000  0.00
10 Pd 0.132 0.368 0.000  0.00

Material: YZr2Te
Method: DFT, GGA-PBE
State: optimized geometry

a b c (Å): 5.383 3.553 5.392
angles (deg): 82.80 90.00 90.00
Atoms (fractional coordinates):
1 Te 0.500 0.250 0.250
2 Y 0.500 0.750 0.750
3 Zr 0.000 0.090 0.005
4 Zr 0.000 0.410 0.495

Results
- Energy relative to the elements, uncorrected: -22 kJ/mol of atoms

Material: As2PdRhW
Method: DFT, GGA-PBE
State: optimized geometry

a b c (Å): 4.763 4.896 4.763
angles (deg): 90.00 90.00 90.00
Each line ends with the local moment (μB).
Atoms (fractional coordinates):
1 As 0.000 0.000 0.500  -0.01
2 As 0.500 0.000 0.000  -0.01
3 Rh 0.500 0.500 0.500  0.49
4 Pd 0.000 0.500 0.000  0.03
5 W 0.000 0.000 0.000  0.06

Material: Cd2Hg3Pb2
Method: DFT, GGA-PBE
State: optimized geometry

a b c (Å): 3.575 8.372 10.580
angles (deg): 51.05 119.85 89.05
Atoms (fractional coordinates):
1 Cd 0.764 0.581 0.177
2 Cd 0.236 0.419 0.823
3 Hg 0.000 0.000 0.000
4 Hg 0.873 0.270 0.582
5 Hg 0.127 0.730 0.418
6 Pb 0.632 0.810 0.752
7 Pb 0.368 0.190 0.248

Material: TaIrPt2
Method: DFT, GGA-PBE
State: optimized geometry

a b c (Å): 3.949 2.821 6.334
angles (deg): 63.56 90.00 90.00
Atoms (fractional coordinates):
1 Ir 0.500 0.755 0.746
2 Pt 0.000 0.003 0.997
3 Pt 0.500 0.249 0.251
4 Ta 0.000 0.493 0.507

Material: HfZr2Zn
Method: DFT, GGA-PBE
State: optimized geometry

a b c (Å): 4.337 4.348 4.348
angles (deg): 90.00 90.00 90.00
Atoms (fractional coordinates):
1 Zn 0.500 0.500 0.500
2 Hf 0.500 0.000 0.000
3 Zr 0.000 0.000 0.500
4 Zr 0.000 0.500 0.000

Material: KAuI3
Method: DFT, GGA-PBE
State: optimized geometry

a b c (Å): 13.850 10.800 10.800
angles (deg): 83.87 123.69 56.31
Atoms (fractional coordinates):
1 I 0.430 0.317 0.421
2 I 0.070 0.921 0.817
3 I 0.570 0.683 0.579
4 I 0.930 0.079 0.183
5 I 0.042 0.264 0.020
6 I 0.458 0.520 0.764
7 I 0.958 0.736 0.980
8 I 0.542 0.480 0.236
9 I 0.544 0.998 0.808
10 I 0.956 0.308 0.498
11 I 0.456 0.002 0.192
12 I 0.044 0.692 0.502
13 K 0.096 0.404 0.358
14 K 0.404 0.858 0.904
15 K 0.904 0.596 0.642
16 K 0.596 0.142 0.096
17 Au 0.750 0.121 0.621
18 Au 0.250 0.879 0.379
19 Au 0.750 0.390 0.890
20 Au 0.250 0.610 0.110

Results
- Energy relative to the elements, uncorrected: -54 kJ/mol of atoms

Material: Tc2Ni8Pt
Method: DFT, GGA-PBE
State: optimized geometry

a b c (Å): 3.610 5.742 6.814
angles (deg): 104.23 105.36 90.00
Atoms (fractional coordinates):
1 Tc 0.227 0.633 0.454
2 Tc 0.773 0.367 0.546
3 Ni 0.589 0.457 0.178
4 Ni 0.317 0.088 0.634
5 Ni 0.138 0.184 0.276
6 Ni 0.047 0.723 0.095
7 Ni 0.862 0.816 0.724
8 Ni 0.683 0.912 0.366
9 Ni 0.411 0.543 0.822
10 Ni 0.953 0.277 0.905
11 Pt 0.500 0.000 0.000

Material: PrHoErMg
Method: DFT, GGA-PBE
State: optimized geometry

a b c (Å): 5.549 5.549 5.549
angles (deg): 60.00 60.00 60.00
Atoms (fractional coordinates):
1 Pr 0.750 0.750 0.750
2 Mg 0.000 0.000 0.000
3 Ho 0.250 0.250 0.250
4 Er 0.500 0.500 0.500

Material: NdTh2Sb3
Method: DFT, GGA-PBE
State: optimized geometry

a b c (Å): 4.487 8.927 10.947
angles (deg): 107.53 90.00 104.55
Atoms (fractional coordinates):
1 Nd 0.500 0.000 0.000
2 Nd 0.000 0.000 0.500
3 Th 0.166 0.332 0.331
4 Th 0.834 0.668 0.669
5 Th 0.334 0.668 0.168
6 Th 0.666 0.332 0.832
7 Sb 0.972 0.943 0.195
8 Sb 0.028 0.057 0.805
9 Sb 0.695 0.390 0.139
10 Sb 0.305 0.610 0.861
11 Sb 0.360 0.720 0.473
12 Sb 0.640 0.280 0.527

Results
- Energy relative to the elements, uncorrected: -87 kJ/mol of atoms

Material: Pm12NdY3
Method: DFT, GGA-PBE
State: optimized geometry

a b c (Å): 5.147 5.147 20.551
angles (deg): 90.00 90.00 90.00
Atoms (fractional coordinates):
1 Pm 0.500 0.500 0.000
2 Pm 0.500 0.500 0.251
3 Pm 0.500 0.500 0.500
4 Pm 0.500 0.500 0.749
5 Pm 0.500 0.000 0.126
6 Pm 0.500 0.000 0.375
7 Pm 0.500 0.000 0.625
8 Pm 0.500 0.000 0.874
9 Pm 0.000 0.500 0.126
10 Pm 0.000 0.500 0.375
11 Pm 0.000 0.500 0.625
12 Pm 0.000 0.500 0.874
13 Nd 0.000 0.000 0.000
14 Y 0.000 0.000 0.251
15 Y 0.000 0.000 0.500
16 Y 0.000 0.000 0.749

DFT total energy across the listed records, respectively: -2.927, -3.052, -5.372, -3.380, -7.066, -7.327, -4.638, -4.961, -2.404, -8.747, -4.849, -5.642, -5.318, -6.906, -5.903, -1.414, -8.708, -7.187, -2.368, -6.670, -3.845, -6.230, -5.059 eV/atom.